Below is TiCr2Cl after structural relaxation, with properties calculated at the PBE-GGA level.

Cell lengths 7.057, 7.057, 5.521 Å; angles 50.28, 50.28, 90.00 degrees
Atoms (fractional coordinates):
Cr1 0.542 0.125 0.250
Cr2 0.208 0.625 0.250
Cr3 0.375 0.458 0.750
Cr4 0.875 0.792 0.750
Cl1 0.500 0.500 0.000
Cl2 0.250 0.750 0.500
Ti1 0.000 0.000 0.000
Ti2 0.750 0.250 0.500

Calculated values
raw formation energy: 0.601 eV/atom
total DFT energy (no corrections): -6.65 eV per atom
total magnetic moment: 5.123 μB/cell

---

Below is Ti3CrCl after structural relaxation, with properties calculated at the PBE-GGA level.

Cell lengths 4.388, 4.388, 4.388 Å; angles 90.00, 90.00, 90.00 degrees
Atoms (fractional coordinates):
Cr1 0.500 0.500 0.500
Cl1 0.000 0.000 0.000
Ti1 0.000 0.500 0.000
Ti2 0.000 0.000 0.500
Ti3 0.500 0.000 0.000

Calculated values
raw formation energy: 0.398 eV/atom
total DFT energy (no corrections): -6.63 eV per atom
total magnetic moment: 0.000 μB/cell

---

Below is Ti3CrCl after structural relaxation, with properties calculated at the PBE-GGA level.

Cell lengths 4.610, 4.610, 4.610 Å; angles 90.00, 90.00, 90.00 degrees
Atoms (fractional coordinates):
Cr1 0.000 0.000 0.000
Cl1 0.500 0.500 0.500
Ti1 0.000 0.500 0.000
Ti2 0.000 0.000 0.500
Ti3 0.500 0.000 0.000

Calculated values
raw formation energy: 0.661 eV/atom
total DFT energy (no corrections): -6.37 eV per atom
total magnetic moment: 0.055 μB/cell

---

Below is TiCrCl6 after structural relaxation, with properties calculated at the PBE-GGA level.

Cell lengths 6.134, 6.134, 6.536 Å; angles 62.01, 62.01, 60.00 degrees
Atoms (fractional coordinates):
Ti1 0.500 0.500 0.500
Cr1 0.000 0.000 0.000
Cl1 0.108 0.395 0.750
Cl2 0.747 0.108 0.750
Cl3 0.605 0.253 0.250
Cl4 0.253 0.892 0.250
Cl5 0.892 0.605 0.250
Cl6 0.395 0.747 0.750

Calculated values
raw formation energy: -1.268 eV/atom
total DFT energy (no corrections): -4.84 eV per atom
total magnetic moment: 4.000 μB/cell

---

Below is TiCr2Cl after structural relaxation, with properties calculated at the PBE-GGA level.

Cell lengths 4.321, 4.321, 4.321 Å; angles 60.00, 60.00, 60.00 degrees
Atoms (fractional coordinates):
Cr1 0.250 0.250 0.250
Cr2 0.750 0.750 0.750
Cl1 0.000 0.000 0.000
Ti1 0.500 0.500 0.500

Calculated values
raw formation energy: 0.859 eV/atom
total DFT energy (no corrections): -6.39 eV per atom
total magnetic moment: 3.181 μB/cell

---

Below is TiTlCrCl6 after structural relaxation, with properties calculated at the PBE-GGA level.

Cell lengths 6.450, 6.450, 14.243 Å; angles 90.00, 90.00, 120.00 degrees
Atoms (fractional coordinates):
Ti1 0.667 0.333 0.250
Ti2 0.333 0.667 0.750
Tl1 0.000 0.000 0.000
Tl2 0.000 0.000 0.500
Cr1 0.333 0.667 0.250
Cr2 0.667 0.333 0.750
Cl1 0.629 0.626 0.153
Cl2 0.997 0.371 0.153
Cl3 0.371 0.997 0.653
Cl4 0.003 0.629 0.847
Cl5 0.374 0.371 0.347
Cl6 0.997 0.626 0.347
Cl7 0.626 0.997 0.847
Cl8 0.629 0.003 0.347
Cl9 0.003 0.374 0.653
Cl10 0.374 0.003 0.153
Cl11 0.626 0.629 0.653
Cl12 0.371 0.374 0.847

Calculated values
raw formation energy: -1.246 eV/atom
total DFT energy (no corrections): -4.69 eV per atom
total magnetic moment: 10.000 μB/cell